# 1
First-principles (PBE) data for NpAg3Br8 after structural relaxation, as listed in the Alexandria database.

Results
DOS at the Fermi energy (states/eV per atom): 0.69
VASP energy (eV per formula unit): -43.23
ΔE_f (raw) (meV/atom): -696
Mass density (g/cm3): 4.9

a b c (Å): 8.4021 8.4021 19.9363
angles (deg): 90.00 90.00 120.00
Space group R-3m (No. 166, hexagonal axes)
One atom of each set of equivalent atoms:
Np: 0.0000 0.0000 0.0000 x3
Ag: 0.0000 0.5000 0.0000 x9
Br: 0.0000 0.0000 0.2744 x6
Br: 0.0332 0.5166 0.7487 x18

=====

# 2
First-principles (PBE) data for NpAg2Br5 after structural relaxation, as listed in the Alexandria database.

Results
DOS at the Fermi energy (states/eV per atom): 0.86
VASP energy (eV per formula unit): -33.24
ΔE_f (raw) (meV/atom): -779
Mass density (g/cm3): 4.9

a b c (Å): 5.846 7.512 7.519
angles (deg): 83.03 69.08 68.11
Space group P1 (No. 1)
One atom of each set of equivalent atoms:
Np: 0.000 0.000 0.000 x1
Ag: 0.487 0.004 0.498 x1
Ag: 0.502 0.476 0.053 x1
Br: 0.021 0.665 0.236 x1
Br: 0.267 0.766 0.660 x1
Br: 0.490 0.006 0.011 x1
Br: 0.713 0.242 0.345 x1
Br: 0.943 0.344 0.780 x1

=====

# 3
First-principles (PBE) data for NpAg3Br9 after structural relaxation, as listed in the Alexandria database.

Results
DOS at the Fermi energy (states/eV per atom): 0.65
VASP energy (eV per formula unit): -44.59
ΔE_f (raw) (meV/atom): -618
Mass density (g/cm3): 4.1

a b c (Å): 17.396 10.061 14.415
angles (deg): 90.00 124.26 90.00
Space group Cc (No. 9)
One atom of each set of equivalent atoms:
Np: 0.000 0.182 0.000 x4
Ag: 0.204 0.432 0.971 x4
Ag: 0.321 0.321 0.578 x4
Ag: 0.344 0.226 0.871 x4
Br: 0.024 0.293 0.849 x4
Br: 0.117 0.357 0.151 x4
Br: 0.138 0.019 0.059 x4
Br: 0.142 0.338 0.459 x4
Br: 0.308 0.233 0.017 x4
Br: 0.357 0.153 0.435 x4
Br: 0.379 0.135 0.737 x4
Br: 0.379 0.493 0.346 x4
Br: 0.483 0.439 0.657 x4

=====

no.,total moment (Bohr magnetons per cell)
1,5.8
2,4.0
3,4.8